First-principles (GGA+U) data for crystalline Rb2WIO6 at its relaxed geometry, as listed in the Alexandria database.

Cell lengths 5.718, 5.718, 6.645 Å; angles 64.50, 64.50, 90.00 degrees
Site moments in Bohr magnetons follow the coordinates.
Atoms (fractional coordinates):
Rb1 0.750 0.250 0.500  0.00
Rb2 0.250 0.750 0.500  0.00
W1 0.000 0.000 0.000  -0.05
I1 0.500 0.500 0.000  0.19
O1 0.179 0.179 0.642  0.10
O2 0.754 0.754 0.000  0.08
O3 0.246 0.754 0.000  0.08
O4 0.754 0.246 0.000  0.08
O5 0.246 0.246 0.000  0.08
O6 0.821 0.821 0.358  0.10

Output
- Space-group type: I4/mmm
- DFT total energy: -5.399 eV/atom
- Size of the total moment: 0.8 μB per formula unit